[1]
The following is a GGA-PBE calculation of a relaxed structure of BaLiSb, from Alexandria via LeMat-Bulk.

```
BaLiSb
1.0
4.943 0.000 0.000
-2.472 4.281 0.000
0.000 0.000 9.196
Ba Li Sb
2 2 2
direct
0.000 0.000 0.000
0.000 0.000 0.500
0.333 0.667 0.250
0.667 0.333 0.750
0.333 0.667 0.750
0.667 0.333 0.250
```

Properties
Formation energy from raw total energies (meV per atom): -944
SG: No. 194
Magnetic moment (μB per cell): 0.00

[2]
The following is a GGA-PBE calculation of a relaxed structure of La2Ag, from Alexandria via LeMat-Bulk.

```
La2Ag
1.0
0.000 3.727 3.727
3.727 0.000 3.727
3.727 3.727 0.000
La Ag
2 1
direct
0.250 0.250 0.250
0.750 0.750 0.750
0.000 0.000 0.000
```

Properties
Calculated formation energy (eV/atom): 0.0598
SG: No. 225
Magnetic moment (μB per cell): 1.58

[3]
The following is a GGA-PBE calculation of a relaxed structure of HfInSbI2, from Alexandria via LeMat-Bulk.

```
HfInSbI2
1.0
5.688 0.000 0.000
0.000 5.688 0.000
0.000 0.000 5.753
Hf In Sb I
1 1 1 2
direct
0.000 0.000 0.000
0.500 0.500 0.500
0.500 0.500 0.000
0.000 0.500 0.500
0.500 0.000 0.500
```

Properties
Formation energy from raw total energies (meV per atom): 816
SG: No. 123
Magnetic moment (μB per cell): 0.88

[4]
The following is a GGA-PBE calculation of a relaxed structure of ZrTeCl2, from Alexandria via LeMat-Bulk.

```
ZrTeCl2
1.0
1.877 1.084 8.409
-1.877 1.084 8.409
0.000 -2.168 8.409
Zr Te Cl
1 1 2
direct
0.000 0.000 0.000
0.259 0.259 0.259
0.506 0.506 0.506
0.729 0.729 0.729
```

Properties
Formation energy from raw total energies (meV per atom): -887
SG: No. 160
Magnetic moment (μB per cell): 0.00

[5]
The following is a GGA-PBE calculation of a relaxed structure of TaHgMo, from Alexandria via LeMat-Bulk.

```
TaHgMo
1.0
-1.700 1.700 4.791
1.700 -1.700 4.791
1.700 1.700 -4.791
Ta Hg Mo
1 1 1
direct
0.000 0.000 0.000
0.314 0.314 0.000
0.630 0.630 0.000
```

Properties
Calculated formation energy (eV/atom): 0.3168
SG: No. 107
Magnetic moment (μB per cell): 0.00

[6]
The following is a GGA-PBE calculation of a relaxed structure of SrCdAu2, from Alexandria via LeMat-Bulk.

```
SrCdAu2
1.0
-2.152 2.214 5.841
2.152 -2.214 5.841
2.152 2.214 -5.841
Sr Cd Au
1 1 2
direct
0.000 0.000 0.000
0.500 0.500 0.000
0.268 0.268 0.000
0.732 0.732 0.000
```

Properties
Calculated formation energy (eV/atom): 0.0538
SG: No. 71
Magnetic moment (μB per cell): 0.00

[7]
The following is a GGA-PBE calculation of a relaxed structure of Li2MoAs, from Alexandria via LeMat-Bulk.

```
Li2MoAs
1.0
4.440 -1.342 0.000
4.440 1.342 0.000
-0.558 0.000 5.156
Li Mo As
2 1 1
direct
0.000 0.000 0.000
0.242 0.242 0.790
0.483 0.483 0.488
0.735 0.735 0.287
```

Properties
Calculated formation energy (eV/atom): 0.0633
SG: No. 8
Magnetic moment (μB per cell): 0.00

[8]
The following is a GGA-PBE calculation of a relaxed structure of Dy2GaNi3, from Alexandria via LeMat-Bulk.

```
Dy2GaNi3
1.0
5.246 0.000 0.000
-2.623 4.543 0.000
0.000 0.000 8.182
Dy Ga Ni
4 2 6
direct
0.333 0.667 0.060
0.333 0.667 0.440
0.667 0.333 0.560
0.667 0.333 0.940
0.000 0.000 0.000
0.000 0.000 0.500
0.168 0.337 0.750
0.168 0.832 0.750
0.337 0.168 0.250
0.663 0.832 0.750
0.832 0.168 0.250
0.832 0.663 0.250
```

Properties
Calculated formation energy (eV/atom): -0.5201
SG: No. 194
Magnetic moment (μB per cell): 0.00

Which formula does entry 3 have? HfInSbI2